The following is a DFT calculation (PBE-GGA) of crystalline YCuC2F at its relaxed geometry.

Unit cell a=4.2833 b=4.2833 c=6.4775 alpha=90.00 beta=90.00 gamma=90.00
Atoms (fractional coordinates):
Y 0.0000 0.0000 0.0000
Cu 0.0000 0.0000 0.5000
C 0.0000 0.5000 0.0000
C 0.5000 0.0000 0.0000
F 0.5000 0.5000 0.5000

Crystal system = tetragonal
Calculated volume = 23.769 A^3/atom
N(E_F) = 0.657 states/eV/atom
Energy = -4.109 eV/atom